The following is a DFT calculation (PBE) of a relaxed structure of NbCo3Br.

Lattice parameters (Å, degrees): 4.2746 4.2746 4.2746 90.00 90.00 90.00
Atoms (fractional coordinates):
Nb  0.5000  0.5000  0.5000
Co  0.0000  0.5000  0.0000
Co  0.0000  0.0000  0.5000
Co  0.5000  0.0000  0.0000
Br  0.0000  0.0000  0.0000

Calculated values
- Formation energy (no corrections): 1.216 eV/atom
- Excess energy over the best structure of this formula in the dataset: 0 kJ/mol of formula units

The following is a DFT calculation (PBE) of a relaxed structure of RbTmIn4O8.

Lattice parameters (Å, degrees): 6.7766 6.7766 6.7728 59.98 59.98 60.00
Atoms (fractional coordinates):
Rb  0.3776  0.3776  0.8671
Tm  0.0034  0.0034  0.9900
In  0.6224  0.6224  0.1329
In  0.0044  0.4884  0.5027
In  0.4884  0.0044  0.5027
In  0.0044  0.0044  0.5027
O  0.2268  0.8186  0.7277
O  0.8186  0.2268  0.7277
O  0.2268  0.2268  0.7277
O  0.2289  0.2289  0.3134
O  0.7556  0.2275  0.2614
O  0.2275  0.7556  0.2614
O  0.7556  0.7556  0.2614
O  0.7596  0.7596  0.7213

Calculated values
- Formation energy (no corrections): -1.750 eV/atom

The following is a DFT calculation (PBE) of a relaxed structure of Si2MoOsI.

Lattice parameters (Å, degrees): 4.6410 5.4728 4.6410 90.00 90.00 90.00
Atoms (fractional coordinates):
I  0.0000  0.5000  0.0000
Mo  0.0000  0.0000  0.0000
Os  0.5000  0.5000  0.5000
Si  0.0000  0.0000  0.5000
Si  0.5000  0.0000  0.0000

Calculated values
- Formation energy (no corrections): 1.747 eV/atom

The following is a DFT calculation (PBE) of a relaxed structure of Pd2RuPt3.

Lattice parameters (Å, degrees): 5.4712 5.4823 7.0159 101.26 112.95 90.00
Atoms (fractional coordinates):
Pd  0.3355  0.4180  0.6752
Pd  0.3396  0.9180  0.6752
Pd  0.6604  0.0820  0.3248
Pd  0.6645  0.5820  0.3248
Ru  0.2451  0.2500  0.0000
Ru  0.7549  0.7500  0.0000
Pt  0.2690  0.7500  0.0000
Pt  0.7310  0.2500  0.0000
Pt  0.8522  0.9249  0.6992
Pt  0.1530  0.5751  0.3008
Pt  0.8470  0.4249  0.6992
Pt  0.1478  0.0751  0.3008

Calculated values
- Energy of formation: 119 meV/atom

The following is a DFT calculation (PBE) of a relaxed structure of SrIBrN2.

Lattice parameters (Å, degrees): 4.5701 4.5701 5.4354 90.00 90.00 90.00
Atoms (fractional coordinates):
I  0.0000  0.0000  0.5000
Sr  0.5000  0.5000  0.5000
Br  0.0000  0.0000  0.0000
N  0.0000  0.5000  0.0000
N  0.5000  0.0000  0.0000

Calculated values
- Formation energy (no corrections): 1.318 eV/atom
- Excess energy over the best structure of this formula in the dataset: 98 kJ/mol of formula units

The following is a DFT calculation (PBE) of a relaxed structure of Na4Hf3PdSe8.

Lattice parameters (Å, degrees): 7.7780 8.3219 7.7847 117.90 119.97 90.00
Atoms (fractional coordinates):
Na  0.5000  0.0000  0.0000
Na  0.5000  0.0000  0.5000
Na  0.0000  0.0000  0.0000
Na  0.0000  0.0000  0.5000
Hf  0.5000  0.5000  0.0000
Hf  0.5000  0.5000  0.5000
Hf  0.0000  0.5000  0.5000
Pd  0.0000  0.5000  0.0000
Se  0.2407  0.7161  0.9752
Se  0.2415  0.7167  0.4830
Se  0.2593  0.2778  0.5187
Se  0.7345  0.7161  0.9752
Se  0.2655  0.2839  0.0248
Se  0.7407  0.7222  0.4813
Se  0.7585  0.2833  0.5170
Se  0.7593  0.2839  0.0248

Calculated values
- Formation energy (no corrections): -1.119 eV/atom

Number 1: spin magnetization 0.482 μB per atom. Number 2: spin magnetization 0.009 μB per atom. Number 3: spin magnetization 0.632 μB per atom. Number 4: spin magnetization 0.000 μB per atom. Number 5: spin magnetization 0.290 μB per atom. Number 6: spin magnetization 0.000 μB per atom.